Model i:
## HoPaGa2 (PBE)

Data for a relaxed structure of HoPaGa2.

The space group is Fm-3m (No. 225) and the conventional cell measures 7.125, 7.125 and 7.125 Å, with angles of 90.00, 90.00 and 90.00 degrees. Symmetry generates all atoms from Ho at (0.000, 0.000, 0.000), Pa at (0.000, 0.000, 0.500) and Ga at (0.250, 0.250, 0.250).

The volume comes out at 22.6 A^3/atom.

Model ii:
## HoPaGa2 (PBE)

Data for a relaxed structure of HoPaGa2.

The space group is P4/mmm (No. 123) and the conventional cell measures 3.286, 3.286 and 8.123 Å, with angles of 90.00, 90.00 and 90.00 degrees. Symmetry generates all atoms from Ho at (0.000, 0.000, 0.000), Pa at (0.000, 0.000, 0.500) and Ga at (0.500, 0.500, 0.248).

The volume comes out at 21.9 A^3/atom.

Tell me which of them is the most stable. Sure, it is model ii.

Model i:
## Ho2PaGa (PBE)

Data for a relaxed structure of Ho2PaGa.

The space group is P4/mmm (No. 123) and the conventional cell measures 4.698, 4.698 and 4.479 Å, with angles of 90.00, 90.00 and 90.00 degrees. Symmetry generates all atoms from Ho at (0.000, 0.500, 0.000), Pa at (0.000, 0.000, 0.500) and Ga at (0.500, 0.500, 0.500).

The volume comes out at 24.7 A^3/atom.

Model ii:
## Ho2PaGa (PBE)

Data for a relaxed structure of Ho2PaGa.

The space group is P4/mmm (No. 123) and the conventional cell measures 3.395, 3.395 and 8.747 Å, with angles of 90.00, 90.00 and 90.00 degrees. Symmetry generates all atoms from Ho at (0.000, 0.000, 0.221), Pa at (0.500, 0.500, 0.500) and Ga at (0.500, 0.500, 0.000).

The volume comes out at 25.2 A^3/atom.

Model iii:
## Ho2PaGa (PBE)

Data for a relaxed structure of Ho2PaGa.

The space group is R-3m (No. 166, hexagonal axes) and the conventional cell measures 3.2847, 3.2847 and 33.4965 Å, with angles of 90.00, 90.00 and 120.00 degrees. Symmetry generates all atoms from Ho at (0.0000, 0.0000, 0.0974), Pa at (0.0000, 0.0000, 0.0000) and Ga at (0.0000, 0.0000, 0.5000).

The volume comes out at 26.1 A^3/atom.

Tell me which of them is the most stable. Sure, it is model ii.

Model i:
## HoGa3Pd3 (PBE)

Data for a relaxed structure of HoGa3Pd3.

The space group is R-3 (No. 148, hexagonal axes) and the conventional cell measures 6.8865, 6.8865 and 18.1982 Å, with angles of 90.00, 90.00 and 120.00 degrees. Symmetry generates all atoms from Ho at (0.0000, 0.0000, 0.1612), Ga at (0.0230, 0.6097, 0.3768) and Pd at (0.0078, 0.7611, 0.5684).

The volume comes out at 17.8 A^3/atom.

Model ii:
## HoGa3Pd3 (PBE)

Data for a relaxed structure of HoGa3Pd3.

The space group is Pm-3n (No. 223) and the conventional cell measures 6.776, 6.776 and 6.776 Å, with angles of 90.00, 90.00 and 90.00 degrees. Symmetry generates all atoms from Ho at (0.000, 0.000, 0.000), Ga at (0.000, 0.250, 0.500) and Pd at (0.000, 0.500, 0.250).

The volume comes out at 22.2 A^3/atom.

Tell me which of them is the most stable. Sure, it is model i.

Model i:
## HoGa3Pd (PBE)

Data for a relaxed structure of HoGa3Pd.

The space group is Pnma (No. 62) and the conventional cell measures 8.245, 4.223 and 10.790 Å, with angles of 90.00, 90.00 and 90.00 degrees. Symmetry generates all atoms from Ho at (0.196, 0.250, 0.013), Ga at (0.074, 0.250, 0.596), Ga at (0.106, 0.750, 0.818), Ga at (0.129, 0.750, 0.207) and Pd at (0.095, 0.250, 0.356).

The volume comes out at 18.8 A^3/atom.

Model ii:
## HoGa3Pd (PBE)

Data for a relaxed structure of HoGa3Pd.

The space group is P2_1/c (No. 14) and the conventional cell measures 8.437, 5.693 and 7.653 Å, with angles of 90.00, 96.95 and 90.00 degrees. Symmetry generates all atoms from Ho at (0.124, 0.124, 0.193), Ga at (0.128, 0.618, 0.056), Ga at (0.269, 0.605, 0.368), Ga at (0.383, 0.164, 0.498) and Pd at (0.456, 0.565, 0.700).

The volume comes out at 18.2 A^3/atom.

Tell me which of them is the most stable. Sure, it is model i.

Model i:
## HoGa2Pd7 (PBE)

Data for a relaxed structure of HoGa2Pd7.

The space group is I4/mmm (No. 139) and the conventional cell measures 4.122, 4.122 and 20.053 Å, with angles of 90.00, 90.00 and 90.00 degrees. Symmetry generates all atoms from Ho at (0.000, 0.000, 0.000), Ga at (0.000, 0.000, 0.324), Pd at (0.000, 0.000, 0.500), Pd at (0.000, 0.500, 0.102) and Pd at (0.000, 0.500, 0.250).

The volume comes out at 17.0 A^3/atom.

Model ii:
## HoGa2Pd7 (PBE)

Data for a relaxed structure of HoGa2Pd7.

The space group is Cmmm (No. 65) and the conventional cell measures 7.332, 12.183 and 4.501 Å, with angles of 90.00, 90.00 and 90.00 degrees. Symmetry generates all atoms from Ho at (0.000, 0.000, 0.000), Ga at (0.000, 0.300, 0.500), Pd at (0.000, 0.225, 0.000), Pd at (0.000, 0.500, 0.500) and Pd at (0.188, 0.119, 0.500).

The volume comes out at 20.1 A^3/atom.

Tell me which of them is the most stable. Sure, it is model i.

Model i:
## Ho8GaPd2 (PBE)

Data for a relaxed structure of Ho8GaPd2.

The space group is C2/m (No. 12) and the conventional cell measures 17.566, 5.067 and 6.799 Å, with angles of 90.00, 106.77 and 90.00 degrees. Symmetry generates all atoms from Ho at (0.032, 0.000, 0.282), Ho at (0.094, 0.500, 0.964), Ho at (0.172, 0.500, 0.481), Ho at (0.199, 0.000, 0.823), Ga at (0.000, 0.500, 0.500) and Pd at (0.183, 0.000, 0.219).

The volume comes out at 26.3 A^3/atom.

Model ii:
## Ho8GaPd2 (PBE)

Data for a relaxed structure of Ho8GaPd2.

The space group is Cm (No. 8) and the conventional cell measures 8.495, 13.368 and 5.536 Å, with angles of 90.00, 107.12 and 90.00 degrees. Symmetry generates all atoms from Ho at (0.000, 0.000, 0.000), Ho at (0.083, 0.376, 0.773), Ho at (0.164, 0.125, 0.580), Ho at (0.258, 0.500, 0.376), Ho at (0.370, 0.228, 0.185), Ga at (0.376, 0.000, 0.274) and Pd at (0.376, 0.303, 0.690).

The volume comes out at 27.3 A^3/atom.

Tell me which of them is the most stable. Sure, it is model i.

Model i:
## HoGaPd6 (PBE)

Data for a relaxed structure of HoGaPd6.

The space group is P4/mmm (No. 123) and the conventional cell measures 4.050, 4.050 and 7.925 Å, with angles of 90.00, 90.00 and 90.00 degrees. Symmetry generates all atoms from Ho at (0.000, 0.000, 0.000), Ga at (0.000, 0.000, 0.500), Pd at (0.000, 0.500, 0.265), Pd at (0.500, 0.500, 0.000) and Pd at (0.500, 0.500, 0.500).

The volume comes out at 16.2 A^3/atom.

Model ii:
## HoGaPd6 (PBE)

Data for a relaxed structure of HoGaPd6.

The space group is C2/m (No. 12) and the conventional cell measures 8.057, 5.418 and 7.340 Å, with angles of 90.00, 111.95 and 90.00 degrees. Symmetry generates all atoms from Ho at (0.000, 0.000, 0.000), Ga at (0.000, 0.500, 0.500), Pd at (0.158, 0.000, 0.445) and Pd at (0.184, 0.243, 0.791).

The volume comes out at 18.6 A^3/atom.

Tell me which of them is the most stable. Sure, it is model i.

Model i:
## Ho3Ga4Pd4 (PBE)

Data for a relaxed structure of Ho3Ga4Pd4.

The space group is Immm (No. 71) and the conventional cell measures 3.581, 4.472 and 26.418 Å, with angles of 90.00, 90.00 and 90.00 degrees. Symmetry generates all atoms from Ho at (0.000, 0.000, 0.000), Ho at (0.000, 0.500, 0.143), Ga at (0.000, 0.000, 0.452), Ga at (0.000, 0.500, 0.309), Pd at (0.000, 0.000, 0.259) and Pd at (0.000, 0.500, 0.405).

The volume comes out at 19.2 A^3/atom.

Model ii:
## Ho3Ga4Pd4 (PBE)

Data for a relaxed structure of Ho3Ga4Pd4.

The space group is Immm (No. 71) and the conventional cell measures 4.157, 7.153 and 14.154 Å, with angles of 90.00, 90.00 and 90.00 degrees. Symmetry generates all atoms from Ho at (0.000, 0.000, 0.000), Ho at (0.000, 0.500, 0.126), Ga at (0.000, 0.300, 0.326), Pd at (0.000, 0.000, 0.213) and Pd at (0.000, 0.198, 0.500).

The volume comes out at 19.1 A^3/atom.

Tell me which of them is the most stable. Sure, it is model ii.

Model i:
## Ho2Ga3Pd5 (PBE)

Data for a relaxed structure of Ho2Ga3Pd5.

The space group is Ibam (No. 72) and the conventional cell measures 11.295, 11.385 and 5.725 Å, with angles of 90.00, 90.00 and 90.00 degrees. Symmetry generates all atoms from Ho at (0.137, 0.222, 0.000), Ga at (0.000, 0.500, 0.250), Ga at (0.138, 0.120, 0.500), Pd at (0.000, 0.000, 0.250), Pd at (0.094, 0.331, 0.500) and Pd at (0.228, 0.500, 0.250).

The volume comes out at 18.4 A^3/atom.

Model ii:
## Ho2Ga3Pd5 (PBE)

Data for a relaxed structure of Ho2Ga3Pd5.

The space group is Cmc2_1 (No. 36) and the conventional cell measures 4.187, 24.924 and 6.761 Å, with angles of 90.00, 90.00 and 90.00 degrees. Symmetry generates all atoms from Ho at (0.000, 0.026, 0.000), Ho at (0.000, 0.324, 0.050), Ga at (0.000, 0.126, 0.229), Ga at (0.000, 0.284, 0.599), Ga at (0.000, 0.457, 0.191), Pd at (0.000, 0.097, 0.625), Pd at (0.000, 0.196, 0.867), Pd at (0.000, 0.226, 0.298), Pd at (0.000, 0.382, 0.455) and Pd at (0.000, 0.442, 0.816).

The volume comes out at 17.6 A^3/atom.

Tell me which of them is the most stable. Sure, it is model ii.

Model i:
## PmHoGaPd (PBE)

Data for a relaxed structure of PmHoGaPd.

The space group is Amm2 (No. 38) and the conventional cell measures 4.487, 3.801 and 11.175 Å, with angles of 90.00, 90.00 and 90.00 degrees. Symmetry generates all atoms from Pm at (0.000, 0.000, 0.000), Ho at (0.500, 0.000, 0.715), Ga at (0.500, 0.000, 0.428) and Pd at (0.000, 0.000, 0.278).

The volume comes out at 23.8 A^3/atom.

Model ii:
## PmHoGaPd (PBE)

Data for a relaxed structure of PmHoGaPd.

The space group is F-43m (No. 216) and the conventional cell measures 7.185, 7.185 and 7.185 Å, with angles of 90.00, 90.00 and 90.00 degrees. Symmetry generates all atoms from Pm at (0.000, 0.000, 0.000), Ho at (0.000, 0.000, 0.500), Ga at (0.250, 0.250, 0.750) and Pd at (0.250, 0.250, 0.250).

The volume comes out at 23.2 A^3/atom.

Tell me which of them is the most stable. Sure, it is model i.

Model i:
## SmHoGaPd (PBE)

Data for a relaxed structure of SmHoGaPd.

The space group is Amm2 (No. 38) and the conventional cell measures 4.493, 3.786 and 11.121 Å, with angles of 90.00, 90.00 and 90.00 degrees. Symmetry generates all atoms from Sm at (0.000, 0.000, 0.000), Ho at (0.500, 0.000, 0.715), Ga at (0.500, 0.000, 0.430) and Pd at (0.000, 0.000, 0.279).

The volume comes out at 23.6 A^3/atom.

Model ii:
## SmHoGaPd (PBE)

Data for a relaxed structure of SmHoGaPd.

The space group is F-43m (No. 216) and the conventional cell measures 7.165, 7.165 and 7.165 Å, with angles of 90.00, 90.00 and 90.00 degrees. Symmetry generates all atoms from Sm at (0.000, 0.000, 0.000), Ho at (0.000, 0.000, 0.500), Ga at (0.250, 0.250, 0.250) and Pd at (0.250, 0.250, 0.750).

The volume comes out at 23.0 A^3/atom.

Tell me which of them is the most stable. Sure, it is model i.